1.
Compound: SrPbW
Source: Alexandria
Functional: PBE
Structure: optimized geometry

total energy	-15.46	eV for the cell shown

Structure (CIF):
```
data_SrPbW
_cell_length_a 5.2609
_cell_length_b 5.2609
_cell_length_c 3.2033
_cell_angle_alpha 90.00
_cell_angle_beta 90.00
_cell_angle_gamma 120.00
_space_group_name_H-M_alt 'P -6 m 2'
_space_group_IT_number 187
_space_group_name_Hall 'P -6 2'
loop_
_atom_site_label
_atom_site_type_symbol
_atom_site_fract_x
_atom_site_fract_y
_atom_site_fract_z
Sr1 Sr 0.0000 0.0000 0.0000
Pb1 Pb 0.3333 0.6667 0.5000
W1 W 0.6667 0.3333 0.5000
```


2.
Compound: SrPbW2
Source: Alexandria
Functional: PBE
Structure: optimized geometry

total energy	-77.16	eV for the cell shown

Structure (CIF):
```
data_SrPbW2
_cell_length_a 3.0931
_cell_length_b 3.0931
_cell_length_c 31.5151
_cell_angle_alpha 90.00
_cell_angle_beta 90.00
_cell_angle_gamma 120.00
_space_group_name_H-M_alt 'R -3 m'
_space_group_IT_number 166
_space_group_name_Hall '-R 3 2"'
loop_
_atom_site_label
_atom_site_type_symbol
_atom_site_fract_x
_atom_site_fract_y
_atom_site_fract_z
Sr1 Sr 0.0000 0.0000 0.0000
Pb1 Pb 0.0000 0.0000 0.5000
W1 W 0.0000 0.0000 0.2437
```


3.
Compound: SrPbW2
Source: Alexandria
Functional: PBE
Structure: optimized geometry

total energy	-55.28	eV for the cell shown

Structure (CIF):
```
data_SrPbW2
_cell_length_a 3.472
_cell_length_b 5.346
_cell_length_c 10.480
_cell_angle_alpha 90.00
_cell_angle_beta 90.00
_cell_angle_gamma 90.00
_space_group_name_H-M_alt 'I m m 2'
_space_group_IT_number 44
_space_group_name_Hall 'I 2 -2'
loop_
_atom_site_label
_atom_site_type_symbol
_atom_site_fract_x
_atom_site_fract_y
_atom_site_fract_z
Sr1 Sr 0.000 0.000 0.000
Pb1 Pb 0.000 0.500 0.211
W1 W 0.000 0.000 0.449
W2 W 0.000 0.500 0.783
```


4.
Compound: SrPbW
Source: Alexandria
Functional: PBE
Structure: optimized geometry

total energy	-15.33	eV for the cell shown

Structure (CIF):
```
data_SrPbW
_cell_length_a 3.3156
_cell_length_b 3.3156
_cell_length_c 7.9421
_cell_angle_alpha 90.00
_cell_angle_beta 90.00
_cell_angle_gamma 120.00
_space_group_name_H-M_alt 'P 3 m 1'
_space_group_IT_number 156
_space_group_name_Hall 'P 3 -2"'
loop_
_atom_site_label
_atom_site_type_symbol
_atom_site_fract_x
_atom_site_fract_y
_atom_site_fract_z
Sr1 Sr 0.0000 0.0000 0.0000
Pb1 Pb 0.3333 0.6667 0.6162
W1 W 0.6667 0.3333 0.3257
```


5.
Compound: SrPb4W
Source: Alexandria
Functional: PBE
Structure: optimized geometry

total energy	-99.77	eV for the cell shown

Structure (CIF):
```
data_SrPb4W
_cell_length_a 9.090
_cell_length_b 9.090
_cell_length_c 9.090
_cell_angle_alpha 90.00
_cell_angle_beta 90.00
_cell_angle_gamma 90.00
_space_group_name_H-M_alt 'F -4 3 m'
_space_group_IT_number 216
_space_group_name_Hall 'F -4 2 3'
loop_
_atom_site_label
_atom_site_type_symbol
_atom_site_fract_x
_atom_site_fract_y
_atom_site_fract_z
Sr1 Sr 0.000 0.000 0.000
Pb1 Pb 0.124 0.124 0.376
W1 W 0.250 0.250 0.750
```


6.
Compound: SrPbW
Source: Alexandria
Functional: PBE
Structure: optimized geometry

total energy	-63.19	eV for the cell shown

Structure (CIF):
```
data_SrPbW
_cell_length_a 4.121
_cell_length_b 4.883
_cell_length_c 15.000
_cell_angle_alpha 90.00
_cell_angle_beta 90.00
_cell_angle_gamma 90.00
_space_group_name_H-M_alt 'F m m 2'
_space_group_IT_number 42
_space_group_name_Hall 'F 2 -2'
loop_
_atom_site_label
_atom_site_type_symbol
_atom_site_fract_x
_atom_site_fract_y
_atom_site_fract_z
Sr1 Sr 0.000 0.000 0.000
Pb1 Pb 0.000 0.000 0.306
W1 W 0.000 0.000 0.667
```


7.
Compound: SrZr2PbW
Source: Alexandria
Functional: PBE
Structure: optimized geometry

total energy	-31.48	eV for the cell shown

Structure (CIF):
```
data_SrZr2PbW
_cell_length_a 5.092
_cell_length_b 5.092
_cell_length_c 6.011
_cell_angle_alpha 90.00
_cell_angle_beta 90.00
_cell_angle_gamma 90.00
_space_group_name_H-M_alt 'P 4/m m m'
_space_group_IT_number 123
_space_group_name_Hall '-P 4 2'
loop_
_atom_site_label
_atom_site_type_symbol
_atom_site_fract_x
_atom_site_fract_y
_atom_site_fract_z
Sr1 Sr 0.000 0.000 0.000
Zr1 Zr 0.000 0.500 0.500
Pb1 Pb 0.500 0.500 0.000
W1 W 0.000 0.000 0.500
```


8.
Compound: SrYPb2
Source: Alexandria
Functional: PBE
Structure: optimized geometry

total energy	-62.73	eV for the cell shown

Structure (CIF):
```
data_SrYPb2
_cell_length_a 8.083
_cell_length_b 8.083
_cell_length_c 8.083
_cell_angle_alpha 90.00
_cell_angle_beta 90.00
_cell_angle_gamma 90.00
_space_group_name_H-M_alt 'F -4 3 m'
_space_group_IT_number 216
_space_group_name_Hall 'F -4 2 3'
loop_
_atom_site_label
_atom_site_type_symbol
_atom_site_fract_x
_atom_site_fract_y
_atom_site_fract_z
Sr1 Sr 0.000 0.000 0.000
Y1 Y 0.250 0.250 0.750
Pb1 Pb 0.000 0.000 0.500
Pb2 Pb 0.250 0.250 0.250
```


Question: Look up the total energy of the eighth one.
Answer: -62.73 eV for the cell shown


Question: total energy of number 3 (SrPbW2)?
Answer: -55.28 eV for the cell shown


Question: What is the total energy in the third record?
Answer: -55.28 eV for the cell shown